[1]
This record from Alexandria via LeMat-Bulk describes BaZnMo4 after structural relaxation. The functional is GGA-PBE.

For the energy of formation from the pure elements, the calculation gives 0.8758 eV per atom. The calculation puts the total energy at -165.07 eV for the cell shown. The value obtained for the magnetic moment is 0.0 μB per cell. The calculated density comes out at 8.23 g/cm3. Its volume is 473.1 Å³/cell.

The space group is F-43m (No. 216) and the conventional cell measures 7.792, 7.792 and 7.792 Å, with angles of 90.00, 90.00 and 90.00 degrees. The inequivalent atoms are Ba at (0.000, 0.000, 0.000), Zn at (0.250, 0.250, 0.250) and Mo at (0.126, 0.126, 0.626).

=====

[2]
This record from Alexandria via LeMat-Bulk describes AcPrPd2 after structural relaxation. The functional is GGA-PBE.

For the energy of formation from the pure elements, the calculation gives -0.7200 eV per atom. The calculation puts the total energy at -66.46 eV for the cell shown. The value obtained for the magnetic moment is 0.0 μB per cell. The calculated density comes out at 8.41 g/cm3. The relative energy among the computed polymorphs comes out at 72 meV/atom. Its volume is 343.9 Å³/cell.

The space group is R-3m (No. 166, hexagonal axes) and the conventional cell measures 4.3283, 4.3283 and 21.1949 Å, with angles of 90.00, 90.00 and 120.00 degrees. The inequivalent atoms are Ac at (0.0000, 0.0000, 0.0000), Pr at (0.0000, 0.0000, 0.5000) and Pd at (0.0000, 0.0000, 0.2470).

=====

[3]
This record from Alexandria via LeMat-Bulk describes Zn2PtPb after structural relaxation. The functional is GGA-PBE.

For the energy of formation from the pure elements, the calculation gives -0.1642 eV per atom. The calculation puts the total energy at -25.91 eV for the cell shown. The value obtained for the magnetic moment is 0.0 μB per cell. The calculated density comes out at 10.73 g/cm3. Its volume is 165.0 Å³/cell.

The space group is Imm2 (No. 44) and the conventional cell measures 2.973, 4.268 and 13.001 Å, with angles of 90.00, 90.00 and 90.00 degrees. The inequivalent atoms are Zn at (0.000, 0.000, 0.000), Zn at (0.000, 0.500, 0.163), Pt at (0.000, 0.000, 0.497) and Pb at (0.000, 0.500, 0.793).